1.
Material: CeTi2Mn
Method: DFT, PBE-GGA
State: optimized geometry

Symmetry: P4/mmm
DFT total energy in eV/atom: -7.78
Energy relative to the lowest polymorph listed for this composition in eV per atom: 0.000

Cell: 3.0149 3.0149 7.7448 Å, 90.00 90.00 90.00°
With the nearest neighbours (Å) after each atom.
Atoms (fractional coordinates):
Ce 0.0000 0.0000 0.0000  4 Ce 3.01, 8 Ti 3.26
Ti 0.5000 0.5000 0.3186  4 Mn 2.55, 1 Ti 2.81
Ti 0.5000 0.5000 0.6814  4 Mn 2.55, 1 Ti 2.81
Mn 0.0000 0.0000 0.5000  8 Ti 2.55


2.
Material: CeMnTl
Method: DFT, PBE-GGA
State: optimized geometry

Symmetry: P2_1/c
DFT total energy in eV/atom: -5.77

Cell: 7.2342 6.7895 5.8933 Å, 90.00 112.56 90.00°
With the nearest neighbours (Å) after each atom.
Atoms (fractional coordinates):
Ce 0.2408 0.1058 0.4865  1 Mn 2.09
Ce 0.2408 0.3942 0.9865  1 Mn 2.09
Ce 0.7592 0.6058 0.0135  1 Mn 2.09
Ce 0.7592 0.8942 0.5135  1 Mn 2.09
Mn 0.0220 0.1751 0.8977  1 Ce 2.09
Mn 0.0220 0.3249 0.3977  1 Ce 2.09
Mn 0.9780 0.6751 0.6023  1 Ce 2.09
Mn 0.9780 0.8249 0.1023  1 Ce 2.09
Tl 0.3181 0.6288 0.5079  3 Mn 2.74-3.00
Tl 0.3181 0.8712 0.0079  3 Mn 2.74-3.00
Tl 0.6819 0.1288 0.9921  3 Mn 2.74-3.00
Tl 0.6819 0.3712 0.4921  3 Mn 2.74-3.00


3.
Material: Ce2MnTl
Method: DFT, PBE-GGA
State: optimized geometry

Symmetry: P4/mmm
DFT total energy in eV/atom: -5.85

Cell: 3.2557 3.2557 8.7425 Å, 90.00 90.00 90.00°
With the nearest neighbours (Å) after each atom.
Atoms (fractional coordinates):
Ce 0.0000 0.0000 0.1939  4 Mn 2.86
Ce 0.0000 0.0000 0.8061  4 Mn 2.86
Mn 0.5000 0.5000 0.0000  8 Ce 2.86
Tl 0.5000 0.5000 0.5000  4 Tl 3.26, 8 Ce 3.53


no.,energy of formation from the pure elements (kJ per mole of atoms)
1,-5.6
2,5.0
3,0.2